Entry 1:
## GaAgAs2Se (PBE)

Data for a relaxed GaAgAs2Se crystal.

extended XYZ file:
```
5
Lattice="5.028 0.000 0.000 0.000 5.028 0.000 0.000 0.000 5.277" Properties=species:S:1:pos:R:3 pbc="T T T"
Ga 0.000 0.000 0.000
Ag 2.514 2.514 2.638
As 0.000 2.514 2.638
As 2.514 0.000 2.638
Se 2.514 2.514 0.000
```

## Properties
E_form (uncorrected) (eV/atom): 0.723
Space group: P4/mmm, No. 123
Energy relative to the lowest polymorph listed for this composition (meV/atom): 52.2

---

Entry 2:
## GaAgAs2Se (PBE)

Data for a relaxed GaAgAs2Se crystal.

extended XYZ file:
```
5
Lattice="4.899 0.000 0.000 0.000 4.899 0.000 0.000 0.000 5.085" Properties=species:S:1:pos:R:3 pbc="T T T"
Ga 0.000 0.000 0.000
Ag 2.450 2.450 2.543
As 0.000 2.450 0.000
As 2.450 0.000 0.000
Se 0.000 0.000 2.543
```

## Properties
E_form (uncorrected) (eV/atom): 0.671
Space group: P4/mmm, No. 123
Energy relative to the lowest polymorph listed for this composition (meV/atom): 0.0

---

Entry 3:
## GaTc2AgAs (PBE)

Data for a relaxed GaTc2AgAs crystal.

extended XYZ file:
```
5
Lattice="4.636 0.000 0.000 0.000 4.636 0.000 0.000 0.000 4.736" Properties=species:S:1:pos:R:3 pbc="T T T"
Ga 0.000 0.000 0.000
Tc 0.000 2.318 2.368
Tc 2.318 0.000 2.368
Ag 2.318 2.318 0.000
As 2.318 2.318 2.368
```

## Properties
E_tot (eV/atom): -5.293
Space group: P4/mmm, No. 123

---

Entry 4:
## ZrGaAgAs2 (PBE)

Data for a relaxed ZrGaAgAs2 crystal.

extended XYZ file:
```
5
Lattice="4.840 0.000 0.000 0.000 4.840 0.000 0.000 0.000 5.135" Properties=species:S:1:pos:R:3 pbc="T T T"
Zr 0.000 0.000 0.000
Ga 0.000 0.000 2.568
Ag 2.420 2.420 0.000
As 0.000 2.420 2.568
As 2.420 0.000 2.568
```

## Properties
E_tot (eV/atom): -4.097
Space group: P4/mmm, No. 123

---

- Number 4 is which compound?
  ZrGaAgAs2